GaNi2Ge | PBE | relaxed

Cell and atoms, written as POSCAR:
```
GaNi2Ge
1.0
-3.2926 3.2926 2.6408
3.2926 -3.2926 2.6408
3.2926 3.2926 -2.6408
Ga Ni Ge
2 4 2
Direct
0.0000 0.0000 0.0000
0.7500 0.2500 0.5000
0.1354 0.6250 0.0104
0.3750 0.3854 0.5104
0.6146 0.1250 0.9896
0.8750 0.8646 0.4896
0.2500 0.7500 0.5000
0.5000 0.5000 0.0000
```

Ga2NiGe2 | PBE | relaxed

Cell and atoms, written as POSCAR:
```
Ga2NiGe2
1.0
6.1893 0.0000 0.0000
0.0000 6.1893 0.0000
0.0000 0.0000 4.6302
Ga Ni Ge
4 2 4
Direct
0.1715 0.3285 0.0000
0.3285 0.8285 0.0000
0.6715 0.1715 0.0000
0.8285 0.6715 0.0000
0.0000 0.0000 0.5000
0.5000 0.5000 0.5000
0.1490 0.6490 0.5000
0.3510 0.1490 0.5000
0.6490 0.8510 0.5000
0.8510 0.3510 0.5000
```

Ga2NiGe2 | PBE | relaxed

Cell and atoms, written as POSCAR:
```
Ga2NiGe2
1.0
6.3269 0.0000 0.0000
0.0000 6.3269 0.0000
0.0000 0.0000 4.4052
Ga Ni Ge
4 2 4
Direct
0.1521 0.3479 0.0000
0.3479 0.8479 0.0000
0.6521 0.1521 0.0000
0.8479 0.6521 0.0000
0.0000 0.0000 0.0000
0.5000 0.5000 0.0000
0.1641 0.6641 0.5000
0.3359 0.1641 0.5000
0.6641 0.8359 0.5000
0.8359 0.3359 0.5000
```

Number 1: spin magnetization 0.00 μB/cell, energy of formation from the pure elements 0.08 eV/atom. Number 2: spin magnetization 0.00 μB/cell, energy of formation from the pure elements 0.06 eV/atom. Number 3: spin magnetization 0.00 μB/cell, energy of formation from the pure elements 0.17 eV/atom.